Entry from the Alexandria database: crystalline Na2Nb2CrSe6 at its relaxed geometry (GGA-PBE).

Unit cell a=6.2564 b=10.9402 c=7.6120 alpha=90.00 beta=103.72 gamma=90.00
With the nearest neighbours (Å) after each atom.
Space group C2/m (No. 12)
Unique sites:
Na  0.0000  0.1824  0.0000 (multiplicity 4)  6 Se 2.94-3.03
Nb  0.0000  0.3653  0.5000 (multiplicity 4)  6 Se 2.57-2.79
Cr  0.0000  0.0000  0.5000 (multiplicity 2)  6 Se 2.55-2.60
Se  0.2167  0.1680  0.6971 (multiplicity 8)  1 Cr 2.55, 2 Nb 2.60-2.79
Se  0.2410  0.0000  0.2655 (multiplicity 4)  2 Nb 2.57, 1 Cr 2.60

Values from the calculation:
E_form (uncorrected), eV per atom: -0.840